Density functional theory data (PBE-GGA) for crystalline Sn4Rh at its relaxed geometry.

```
Sn4Rh
1.0
5.169 0.000 0.000
0.000 5.169 0.000
0.000 0.000 5.169
Sn Rh
4 1
direct
0.000 0.000 0.000
0.000 0.500 0.500
0.500 0.000 0.500
0.500 0.500 0.000
0.500 0.500 0.500
```

Output
Energy of formation   2.1 kJ per mole of atoms
Volume   27.63 Å³/atom
DOS(E_F)   0.583 states/eV/atom

Density functional theory data (PBE-GGA) for crystalline Pr6SiTe3Pb2 at its relaxed geometry.

```
Pr6SiTe3Pb2
1.0
9.906 -2.252 0.000
9.906 2.252 0.000
-2.155 0.000 8.883
Pr Si Te Pb
6 1 3 2
direct
0.000 0.000 0.228
0.000 0.000 0.772
0.333 0.333 0.419
0.342 0.342 0.920
0.658 0.658 0.080
0.667 0.667 0.581
0.500 0.500 0.000
0.169 0.169 0.835
0.500 0.500 0.500
0.831 0.831 0.165
0.166 0.166 0.332
0.834 0.834 0.668
```

Output
Volume   33.02 Å³/atom
Formation energy from raw total energies   -1055 meV/atom
DOS(E_F)   0.276 states/eV/atom